No. 1
Here is Y5Ho4Er3 after structural relaxation from the Alexandria database. Energies are from PBE.

Unit cell a=8.5514 b=8.5514 c=9.2169 alpha=114.87 beta=114.87 gamma=39.90
Last column: nearest neighbours and their distance in Å.
Fractional positions:
1 Y 0.0000 0.0000 0.0000  4 Er 2.92-3.07
2 Y 0.3269 0.3269 0.6148  4 Er 3.18-3.41, 3 Ho 3.41-3.54
3 Y 0.4253 0.4253 0.2962  2 Er 3.25-3.44, 1 Y 3.44, 2 Ho 3.60
4 Y 0.5747 0.5747 0.7038  2 Er 3.25-3.44, 1 Y 3.44, 2 Ho 3.60
5 Y 0.6731 0.6731 0.3852  4 Er 3.18-3.41, 3 Ho 3.41-3.54
6 Ho 0.0807 0.0807 0.4403  1 Ho 3.24, 1 Er 3.40, 3 Y 3.41-3.54
7 Ho 0.2148 0.2148 0.8787  3 Er 3.29-3.48, 3 Ho 3.54-3.63, 3 Y 3.60-3.62
8 Ho 0.7852 0.7852 0.1213  3 Er 3.29-3.48, 3 Ho 3.54-3.63, 3 Y 3.60-3.62
9 Ho 0.9193 0.9193 0.5597  1 Ho 3.24, 1 Er 3.40, 3 Y 3.41-3.54
10 Er 0.2093 0.2093 0.2307  5 Y 3.07-3.41, 2 Ho 3.29-3.40
11 Er 0.5000 0.5000 0.0000  2 Y 2.92
12 Er 0.7907 0.7907 0.7693  5 Y 3.07-3.41, 2 Ho 3.29-3.40

Results
N(E_F)   1.69 states/eV/atom
Crystal system   monoclinic
ρ   6.9 g/cm3
Total magnetic moment   0.6 Bohr magnetons per cell
E above lowest polymorph   219.2 meV/atom
ΔE_f   244 meV/atom

=====

No. 2
Here is YHo2Er after structural relaxation from the Alexandria database. Energies are from PBE.

Unit cell a=5.6276 b=12.3522 c=7.2447 alpha=90.00 beta=90.00 gamma=90.00
Last column: nearest neighbours and their distance in Å.
Fractional positions:
1 Y 0.2500 0.1657 0.0000  8 Ho 3.50-3.62, 4 Er 3.50-3.58
2 Y 0.2500 0.6657 0.5000  8 Ho 3.50-3.62, 4 Er 3.50-3.58
3 Y 0.7500 0.3343 0.5000  8 Ho 3.50-3.62, 4 Er 3.50-3.58
4 Y 0.7500 0.8343 0.0000  8 Ho 3.50-3.62, 4 Er 3.50-3.58
5 Ho 0.2500 0.1656 0.5002  4 Ho 3.49-3.59, 4 Er 3.49-3.59, 4 Y 3.50-3.62
6 Ho 0.2500 0.4164 0.2488  6 Ho 3.49-3.59, 4 Y 3.50-3.58, 2 Er 3.60-3.64
7 Ho 0.2500 0.6656 0.0002  4 Ho 3.49-3.59, 4 Er 3.49-3.59, 4 Y 3.50-3.62
8 Ho 0.2500 0.9164 0.7488  6 Ho 3.49-3.59, 4 Y 3.50-3.58, 2 Er 3.60-3.64
9 Ho 0.7500 0.0836 0.7488  6 Ho 3.49-3.59, 4 Y 3.50-3.58, 2 Er 3.60-3.64
10 Ho 0.7500 0.3344 0.0002  4 Ho 3.49-3.59, 4 Er 3.49-3.59, 4 Y 3.50-3.62
11 Ho 0.7500 0.5836 0.2488  6 Ho 3.49-3.59, 4 Y 3.50-3.58, 2 Er 3.60-3.64
12 Ho 0.7500 0.8344 0.5002  4 Ho 3.49-3.59, 4 Er 3.49-3.59, 4 Y 3.50-3.62
13 Er 0.2500 0.4162 0.7514  6 Ho 3.49-3.64, 2 Er 3.49, 4 Y 3.50-3.58
14 Er 0.2500 0.9162 0.2514  6 Ho 3.49-3.64, 2 Er 3.49, 4 Y 3.50-3.58
15 Er 0.7500 0.0838 0.2514  6 Ho 3.49-3.64, 2 Er 3.49, 4 Y 3.50-3.58
16 Er 0.7500 0.5838 0.7514  6 Ho 3.49-3.64, 2 Er 3.49, 4 Y 3.50-3.58

Results
N(E_F)   1.70 states/eV/atom
Crystal system   orthorhombic
ρ   7.7 g/cm3
Total magnetic moment   0.0 Bohr magnetons per cell
E above lowest polymorph   0.0 meV/atom
ΔE_f   3 meV/atom

=====

No. 3
Here is Y5Ho12Er after structural relaxation from the Alexandria database. Energies are from PBE.

Unit cell a=10.6135 b=10.6135 c=4.9976 alpha=90.00 beta=90.00 gamma=90.13
Last column: nearest neighbours and their distance in Å.
Fractional positions:
1 Y 0.0000 0.0000 0.0000  4 Y 3.54, 8 Ho 3.55
2 Y 0.1667 0.8333 0.5000  4 Y 3.54-3.55, 8 Ho 3.55
3 Y 0.3340 0.6660 0.0000  2 Er 3.53, 8 Ho 3.53-3.56, 2 Y 3.55
4 Y 0.6660 0.3340 0.0000  2 Er 3.53, 8 Ho 3.53-3.56, 2 Y 3.55
5 Y 0.8333 0.1667 0.5000  4 Y 3.54-3.55, 8 Ho 3.55
6 Ho 0.0012 0.3346 0.0000  8 Ho 3.51-3.54, 4 Y 3.55-3.56
7 Ho 0.1663 0.4989 0.5000  8 Ho 3.51-3.54, 3 Y 3.54-3.55, 1 Er 3.54
8 Ho 0.1678 0.1678 0.5000  8 Ho 3.51-3.54, 4 Y 3.55
9 Ho 0.3329 0.3329 0.0000  8 Ho 3.52-3.53, 2 Y 3.53, 2 Er 3.54
10 Ho 0.3346 0.0012 0.0000  8 Ho 3.51-3.54, 4 Y 3.55-3.56
11 Ho 0.4989 0.1663 0.5000  8 Ho 3.51-3.54, 3 Y 3.54-3.55, 1 Er 3.54
12 Ho 0.5011 0.8337 0.5000  8 Ho 3.51-3.54, 3 Y 3.54-3.55, 1 Er 3.54
13 Ho 0.6654 0.9988 0.0000  8 Ho 3.51-3.54, 4 Y 3.55-3.56
14 Ho 0.6671 0.6671 0.0000  8 Ho 3.52-3.53, 2 Y 3.53, 2 Er 3.54
15 Ho 0.8322 0.8322 0.5000  8 Ho 3.51-3.54, 4 Y 3.55
16 Ho 0.8337 0.5011 0.5000  8 Ho 3.51-3.54, 3 Y 3.54-3.55, 1 Er 3.54
17 Ho 0.9988 0.6654 0.0000  8 Ho 3.51-3.54, 4 Y 3.55-3.56
18 Er 0.5000 0.5000 0.5000  4 Y 3.53, 8 Ho 3.54

Results
N(E_F)   1.41 states/eV/atom
Crystal system   orthorhombic
ρ   7.6 g/cm3
Total magnetic moment   0.0 Bohr magnetons per cell
ΔE_f   23 meV/atom

=====

No. 4
Here is Y2HoEr3 after structural relaxation from the Alexandria database. Energies are from PBE.

Unit cell a=9.3469 b=9.3469 c=6.1130 alpha=90.02 beta=90.02 gamma=44.39
Last column: nearest neighbours and their distance in Å.
Fractional positions:
1 Y 0.0412 0.2918 0.0842  8 Er 3.52-3.54, 1 Ho 3.53, 3 Y 3.53-3.54
2 Y 0.2918 0.0412 0.5842  8 Er 3.52-3.54, 1 Ho 3.53, 3 Y 3.53-3.54
3 Y 0.7082 0.9588 0.4158  8 Er 3.52-3.54, 1 Ho 3.53, 3 Y 3.53-3.54
4 Y 0.9588 0.7082 0.9158  8 Er 3.52-3.54, 1 Ho 3.53, 3 Y 3.53-3.54
5 Ho 0.3757 0.6243 0.7500  8 Er 3.52-3.54, 2 Ho 3.52, 2 Y 3.53
6 Ho 0.6243 0.3757 0.2500  8 Er 3.52-3.54, 2 Ho 3.52, 2 Y 3.53
7 Er 0.1257 0.8743 0.2500  4 Ho 3.52-3.54, 4 Er 3.52-3.53, 4 Y 3.53
8 Er 0.2094 0.4586 0.4176  2 Ho 3.52, 6 Y 3.52-3.54, 4 Er 3.52-3.55
9 Er 0.4586 0.2094 0.9176  2 Ho 3.52, 6 Y 3.52-3.54, 4 Er 3.52-3.55
10 Er 0.5414 0.7906 0.0824  2 Ho 3.52, 6 Y 3.52-3.54, 4 Er 3.52-3.55
11 Er 0.7906 0.5414 0.5824  2 Ho 3.52, 6 Y 3.52-3.54, 4 Er 3.52-3.55
12 Er 0.8743 0.1257 0.7500  4 Ho 3.52-3.54, 4 Er 3.52-3.53, 4 Y 3.53

Results
N(E_F)   1.49 states/eV/atom
Crystal system   monoclinic
ρ   7.5 g/cm3
Total magnetic moment   0.0 Bohr magnetons per cell
E above lowest polymorph   0.0 meV/atom
ΔE_f   26 meV/atom

=====

No. 5
Here is YHo2Er6 after structural relaxation from the Alexandria database. Energies are from PBE.

Unit cell a=9.4692 b=9.4692 c=6.4944 alpha=99.39 beta=99.39 gamma=96.15
Last column: nearest neighbours and their distance in Å.
Fractional positions:
1 Y 0.1191 0.8809 0.7500  10 Er 3.28-3.68
2 Y 0.8809 0.1191 0.2500  10 Er 3.28-3.68
3 Ho 0.3351 0.3819 0.6312  3 Ho 3.31-3.54, 7 Er 3.32-3.58
4 Ho 0.3819 0.3351 0.1312  3 Ho 3.31-3.54, 7 Er 3.32-3.58
5 Ho 0.6181 0.6649 0.8688  3 Ho 3.31-3.54, 7 Er 3.32-3.58
6 Ho 0.6649 0.6181 0.3688  3 Ho 3.31-3.54, 7 Er 3.32-3.58
7 Er 0.0458 0.2239 0.8155  3 Er 3.31-3.39, 3 Y 3.37-3.68, 2 Ho 3.45-3.46
8 Er 0.0617 0.4618 0.2729  6 Er 3.35-3.46, 2 Ho 3.42-3.58, 1 Y 3.47
9 Er 0.2239 0.0458 0.3155  3 Er 3.31-3.39, 3 Y 3.37-3.68, 2 Ho 3.45-3.46
10 Er 0.2777 0.6476 0.9965  5 Er 3.20-3.55, 1 Y 3.28, 3 Ho 3.32-3.45
11 Er 0.3524 0.7223 0.5035  5 Er 3.20-3.55, 1 Y 3.28, 3 Ho 3.32-3.45
12 Er 0.4618 0.0617 0.7729  6 Er 3.35-3.46, 2 Ho 3.42-3.58, 1 Y 3.47
13 Er 0.5382 0.9383 0.2271  6 Er 3.35-3.46, 2 Ho 3.42-3.58, 1 Y 3.47
14 Er 0.6476 0.2777 0.4965  5 Er 3.20-3.55, 1 Y 3.28, 3 Ho 3.32-3.45
15 Er 0.7223 0.3524 0.0035  5 Er 3.20-3.55, 1 Y 3.28, 3 Ho 3.32-3.45
16 Er 0.7761 0.9542 0.6845  3 Er 3.31-3.39, 3 Y 3.37-3.68, 2 Ho 3.45-3.46
17 Er 0.9383 0.5382 0.7271  6 Er 3.35-3.46, 2 Ho 3.42-3.58, 1 Y 3.47
18 Er 0.9542 0.7761 0.1845  3 Er 3.31-3.39, 3 Y 3.37-3.68, 2 Ho 3.45-3.46

Results
N(E_F)   1.25 states/eV/atom
Crystal system   monoclinic
ρ   8.4 g/cm3
Total magnetic moment   0.0 Bohr magnetons per cell
E above lowest polymorph   105.1 meV/atom
ΔE_f   107 meV/atom

=====

No. 6
Here is Y3HoEr7 after structural relaxation from the Alexandria database. Energies are from PBE.

Unit cell a=8.3651 b=8.3651 c=5.7432 alpha=110.03 beta=110.03 gamma=82.93
Last column: nearest neighbours and their distance in Å.
Fractional positions:
1 Y 0.0000 0.0000 0.0000  4 Er 3.15
2 Y 0.2076 0.7924 0.5000  5 Er 3.24-3.48
3 Y 0.7924 0.2076 0.5000  5 Er 3.24-3.48
4 Ho 0.5000 0.5000 0.0000  2 Er 2.87
5 Er 0.0029 0.4009 0.2017  2 Y 3.15-3.48, 3 Er 3.26-3.48
6 Er 0.2095 0.2095 0.7084  1 Ho 3.24, 2 Y 3.28, 6 Er 3.48-3.63
7 Er 0.4009 0.0029 0.2017  2 Y 3.15-3.48, 3 Er 3.26-3.48
8 Er 0.5000 0.5000 0.5000  2 Ho 2.87
9 Er 0.5991 0.9971 0.7983  2 Y 3.15-3.48, 3 Er 3.26-3.48
10 Er 0.7905 0.7905 0.2916  1 Ho 3.24, 2 Y 3.28, 6 Er 3.48-3.63
11 Er 0.9971 0.5991 0.7983  2 Y 3.15-3.48, 3 Er 3.26-3.48

Results
N(E_F)   1.47 states/eV/atom
Crystal system   monoclinic
ρ   7.5 g/cm3
Total magnetic moment   0.4 Bohr magnetons per cell
E above lowest polymorph   123.0 meV/atom
ΔE_f   286 meV/atom

=====

No. 7
Here is Y12HoEr6 after structural relaxation from the Alexandria database. Energies are from PBE.

Unit cell a=9.1074 b=9.1074 c=9.1074 alpha=106.63 beta=106.63 gamma=106.63
Last column: nearest neighbours and their distance in Å.
Fractional positions:
1 Y 0.1361 0.8256 0.2814  5 Er 3.35-3.62, 3 Y 3.35-3.51, 1 Ho 3.50
2 Y 0.1744 0.7186 0.8639  5 Er 3.35-3.62, 3 Y 3.35-3.51, 1 Ho 3.50
3 Y 0.1909 0.5775 0.4827  3 Er 3.33-3.56, 6 Y 3.35-3.51
4 Y 0.2814 0.1361 0.8256  5 Er 3.35-3.62, 3 Y 3.35-3.51, 1 Ho 3.50
5 Y 0.4225 0.5173 0.8091  3 Er 3.33-3.56, 6 Y 3.35-3.51
6 Y 0.4827 0.1909 0.5775  3 Er 3.33-3.56, 6 Y 3.35-3.51
7 Y 0.5173 0.8091 0.4225  3 Er 3.33-3.56, 6 Y 3.35-3.51
8 Y 0.5775 0.4827 0.1909  3 Er 3.33-3.56, 6 Y 3.35-3.51
9 Y 0.7186 0.8639 0.1744  5 Er 3.35-3.62, 3 Y 3.35-3.51, 1 Ho 3.50
10 Y 0.8091 0.4225 0.5173  3 Er 3.33-3.56, 6 Y 3.35-3.51
11 Y 0.8256 0.2814 0.1361  5 Er 3.35-3.62, 3 Y 3.35-3.51, 1 Ho 3.50
12 Y 0.8639 0.1744 0.7186  5 Er 3.35-3.62, 3 Y 3.35-3.51, 1 Ho 3.50
13 Ho 0.0000 0.0000 0.0000  6 Y 3.50, 6 Er 3.74
14 Er 0.0767 0.1853 0.4525  8 Y 3.33-3.62, 1 Er 3.71
15 Er 0.1853 0.4525 0.0767  8 Y 3.33-3.62, 1 Er 3.71
16 Er 0.4525 0.0767 0.1853  8 Y 3.33-3.62, 1 Er 3.71
17 Er 0.5475 0.9233 0.8147  8 Y 3.33-3.62, 1 Er 3.71
18 Er 0.8147 0.5475 0.9233  8 Y 3.33-3.62, 1 Er 3.71
19 Er 0.9233 0.8147 0.5475  8 Y 3.33-3.62, 1 Er 3.71

Results
N(E_F)   1.72 states/eV/atom
Crystal system   trigonal
ρ   5.8 g/cm3
Total magnetic moment   0.0 Bohr magnetons per cell
E above lowest polymorph   107.9 meV/atom
ΔE_f   261 meV/atom

=====

No. 8
Here is Y15Ho4Er after structural relaxation from the Alexandria database. Energies are from PBE.

Unit cell a=5.0318 b=5.0318 c=25.1602 alpha=90.00 beta=90.00 gamma=90.00
Last column: nearest neighbours and their distance in Å.
Fractional positions:
1 Y 0.0000 0.0000 0.0000  8 Y 3.55, 4 Er 3.56
2 Y 0.0000 0.0000 0.1998  8 Y 3.56, 4 Ho 3.56
3 Y 0.0000 0.0000 0.3999  4 Ho 3.56, 8 Y 3.56
4 Y 0.0000 0.0000 0.6001  4 Ho 3.56, 8 Y 3.56
5 Y 0.0000 0.0000 0.8002  8 Y 3.56, 4 Ho 3.56
6 Y 0.0000 0.5000 0.0998  2 Er 3.55, 8 Y 3.55-3.56, 2 Ho 3.56
7 Y 0.0000 0.5000 0.2998  8 Y 3.56, 4 Ho 3.56
8 Y 0.0000 0.5000 0.5000  8 Y 3.56, 4 Ho 3.56
9 Y 0.0000 0.5000 0.7002  8 Y 3.56, 4 Ho 3.56
10 Y 0.0000 0.5000 0.9002  2 Er 3.55, 8 Y 3.55-3.56, 2 Ho 3.56
11 Y 0.5000 0.0000 0.0998  2 Er 3.55, 8 Y 3.55-3.56, 2 Ho 3.56
12 Y 0.5000 0.0000 0.2998  8 Y 3.56, 4 Ho 3.56
13 Y 0.5000 0.0000 0.5000  8 Y 3.56, 4 Ho 3.56
14 Y 0.5000 0.0000 0.7002  8 Y 3.56, 4 Ho 3.56
15 Y 0.5000 0.0000 0.9002  2 Er 3.55, 8 Y 3.55-3.56, 2 Ho 3.56
16 Ho 0.5000 0.5000 0.1998  12 Y 3.56
17 Ho 0.5000 0.5000 0.3999  12 Y 3.56
18 Ho 0.5000 0.5000 0.6001  12 Y 3.56
19 Ho 0.5000 0.5000 0.8002  12 Y 3.56
20 Er 0.5000 0.5000 0.0000  12 Y 3.55-3.56

Results
N(E_F)   1.42 states/eV/atom
Crystal system   tetragonal
ρ   5.6 g/cm3
Total magnetic moment   0.0 Bohr magnetons per cell
ΔE_f   25 meV/atom